The following is a PBE-GGA calculation of a relaxed Ca2MgNi crystal, from Alexandria.

```
Ca2MgNi
1.0
-5.016 5.016 2.507
5.016 -5.016 2.507
5.016 5.016 -2.507
Ca Mg Ni
4 2 2
direct
0.375 0.028 0.153
0.778 0.625 0.653
0.875 0.222 0.847
0.972 0.125 0.347
0.250 0.750 0.500
0.500 0.500 0.000
0.000 0.000 0.000
0.750 0.250 0.500
```

Properties
Its space-group type is I-42d (122). The calculation puts the calculated formation energy at 95 meV/atom. The total energy comes out at -2.75 eV per atom.